Entry 1:
Here is a relaxed LiSbMo2 crystal from the Alexandria database. Energies are from PBE.

Results
Fermi-level density of states = 2.823 states/eV/f.u.
Raw formation energy = 0.23 eV per atom

a = 3.4589 Å, b = 4.2127 Å, c = 4.4868 Å
α = 90.00°, β = 90.00°, γ = 90.00°
Space group Pmmm (No. 47)
Symmetry-distinct sites (fractional):
Li  0.0000  0.0000  0.0000 (multiplicity 1)
Sb  0.5000  0.5000  0.0000 (multiplicity 1)
Mo  0.0000  0.5000  0.5000 (multiplicity 1)
Mo  0.5000  0.0000  0.5000 (multiplicity 1)



Entry 2:
Here is a relaxed VCdGa3 crystal from the Alexandria database. Energies are from PBE.

Results
Polymorph energy (0 for the lowest one) = 0 meV per atom
Fermi-level density of states = 4.074 states/eV/f.u.
Energy of formation from the pure elements = 0.427 eV/atom

a = 4.8440 Å, b = 4.8440 Å, c = 4.8440 Å
α = 90.00°, β = 90.00°, γ = 90.00°
Space group Pm-3m (No. 221)
Symmetry-distinct sites (fractional):
V  0.0000  0.0000  0.0000 (multiplicity 1)
Cd  0.5000  0.5000  0.5000 (multiplicity 1)
Ga  0.0000  0.0000  0.5000 (multiplicity 3)



Entry 3:
Here is a relaxed Sr3Ti2AlO9 crystal from the Alexandria database. Energies are from PBE.

Results
Fermi-level density of states = 7.362 states/eV/f.u.
Raw formation energy = -2.97 eV per atom

a = 5.5258 Å, b = 5.5258 Å, c = 6.7707 Å
α = 90.00°, β = 90.00°, γ = 120.00°
Space group P-3m1 (No. 164)
Symmetry-distinct sites (fractional):
Sr  0.0000  0.0000  0.0000 (multiplicity 1)
Sr  0.3333  0.6667  0.6683 (multiplicity 2)
Ti  0.3333  0.6667  0.1771 (multiplicity 2)
Al  0.0000  0.0000  0.5000 (multiplicity 1)
O  0.0000  0.5000  0.0000 (multiplicity 3)
O  0.1643  0.3287  0.3365 (multiplicity 6)



Entry 4:
Here is a relaxed Sm5Er2Tl4 crystal from the Alexandria database. Energies are from PBE.

Results
Fermi-level density of states = 15.363 states/eV/f.u.
Energy of formation from the pure elements = -0.066 eV/atom

a = 23.1952 Å, b = 3.5931 Å, c = 8.7603 Å
α = 90.00°, β = 101.99°, γ = 90.00°
Space group C2/m (No. 12)
Symmetry-distinct sites (fractional):
Sm  0.0000  0.0000  0.0000 (multiplicity 2)
Sm  0.1862  0.5000  0.0525 (multiplicity 4)
Sm  0.2012  0.5000  0.6512 (multiplicity 4)
Er  0.0555  0.5000  0.3901 (multiplicity 4)
Tl  0.0753  0.5000  0.7672 (multiplicity 4)
Tl  0.1561  0.0000  0.3289 (multiplicity 4)



Entry 5:
Here is a relaxed Ca3AlAg3 crystal from the Alexandria database. Energies are from PBE.

Results
Polymorph energy (0 for the lowest one) = 0 meV per atom
Fermi-level density of states = 3.391 states/eV/f.u.
Energy of formation from the pure elements = -0.309 eV/atom

a = 11.4660 Å, b = 4.3889 Å, c = 15.1940 Å
α = 90.00°, β = 109.86°, γ = 90.00°
Space group C2/m (No. 12)
Symmetry-distinct sites (fractional):
Ca  0.0217  0.0000  0.3834 (multiplicity 4)
Ca  0.1051  0.0000  0.9211 (multiplicity 4)
Ca  0.2449  0.0000  0.2326 (multiplicity 4)
Al  0.2382  0.5000  0.4055 (multiplicity 4)
Ag  0.0389  0.5000  0.2404 (multiplicity 4)
Ag  0.1117  0.5000  0.0783 (multiplicity 4)
Ag  0.1342  0.5000  0.5437 (multiplicity 4)



Entry 6:
Here is a relaxed SrPrRh crystal from the Alexandria database. Energies are from PBE.

Results
Polymorph energy (0 for the lowest one) = 5 meV per atom
Fermi-level density of states = 1.196 states/eV/f.u.
Energy of formation from the pure elements = -0.336 eV/atom

a = 6.8342 Å, b = 8.6103 Å, c = 7.4539 Å
α = 90.00°, β = 110.93°, γ = 90.00°
Space group P2_1/c (No. 14)
Symmetry-distinct sites (fractional):
Sr  0.2413  0.1281  0.4847 (multiplicity 4)
Pr  0.2784  0.6233  0.5226 (multiplicity 4)
Rh  0.4784  0.6246  0.2582 (multiplicity 4)



Entry 7:
Here is a relaxed LiLuTl2 crystal from the Alexandria database. Energies are from PBE.

Results
Fermi-level density of states = 2.095 states/eV/f.u.
Energy of formation from the pure elements = -0.250 eV/atom

a = 3.5683 Å, b = 3.5683 Å, c = 7.3469 Å
α = 90.00°, β = 90.00°, γ = 90.00°
Space group P4/mmm (No. 123)
Symmetry-distinct sites (fractional):
Li  0.0000  0.0000  0.0000 (multiplicity 1)
Lu  0.0000  0.0000  0.5000 (multiplicity 1)
Tl  0.5000  0.5000  0.2220 (multiplicity 2)



Entry 8:
Here is a relaxed MgCd2 crystal from the Alexandria database. Energies are from PBE.

Results
Fermi-level density of states = 0.975 states/eV/f.u.
Energy of formation from the pure elements = -0.056 eV/atom

a = 3.1318 Å, b = 15.8006 Å, c = 5.3714 Å
α = 90.00°, β = 90.00°, γ = 90.00°
Space group Cmcm (No. 63)
Symmetry-distinct sites (fractional):
Mg  0.0000  0.2188  0.2500 (multiplicity 4)
Cd  0.0000  0.1173  0.7500 (multiplicity 4)
Cd  0.0000  0.4474  0.7500 (multiplicity 4)



Entry 9:
Here is a relaxed MnCrCuAu crystal from the Alexandria database. Energies are from PBE.

Results
Polymorph energy (0 for the lowest one) = 7 meV per atom
Fermi-level density of states = 1.523 states/eV/f.u.
Energy of formation from the pure elements = 0.047 eV/atom

a = 3.7051 Å, b = 3.7508 Å, c = 8.2757 Å
α = 90.00°, β = 90.00°, γ = 90.00°
Space group Imm2 (No. 44)
Symmetry-distinct sites (fractional):
Mn  0.0000  0.0000  0.0000 (multiplicity 2)
Cr  0.0000  0.0000  0.4990 (multiplicity 2)
Cu  0.0000  0.5000  0.7490 (multiplicity 2)
Au  0.0000  0.5000  0.2497 (multiplicity 2)



Entry 10:
Here is a relaxed La3PrMg crystal from the Alexandria database. Energies are from PBE.

Results
Polymorph energy (0 for the lowest one) = 116 meV per atom
Fermi-level density of states = 6.439 states/eV/f.u.
Energy of formation from the pure elements = 0.093 eV/atom

a = 13.2398 Å, b = 5.6544 Å, c = 9.4594 Å
α = 90.00°, β = 95.35°, γ = 90.00°
Space group C2/m (No. 12)
Symmetry-distinct sites (fractional):
La  0.0758  0.0000  0.3482 (multiplicity 4)
La  0.1270  0.5000  0.6819 (multiplicity 4)
La  0.1550  0.0000  0.9573 (multiplicity 4)
Pr  0.0926  0.5000  0.1024 (multiplicity 4)
Mg  0.2451  0.5000  0.3847 (multiplicity 4)



Entry 11:
Here is a relaxed MnV crystal from the Alexandria database. Energies are from PBE.

Results
Fermi-level density of states = 1.907 states/eV/f.u.
Energy of formation from the pure elements = 1.813 eV/atom

a = 6.6722 Å, b = 6.6722 Å, c = 6.6722 Å
α = 90.00°, β = 90.00°, γ = 90.00°
Space group Pm-3n (No. 223)
Symmetry-distinct sites (fractional):
Mn  0.0000  0.2500  0.5000 (multiplicity 6)
V  0.0000  0.5000  0.2500 (multiplicity 6)



Entry 12:
Here is a relaxed Tb4Mg3Cd crystal from the Alexandria database. Energies are from PBE.

Results
Polymorph energy (0 for the lowest one) = 0 meV per atom
Fermi-level density of states = 10.319 states/eV/f.u.
Energy of formation from the pure elements = -0.144 eV/atom

a = 3.7942 Å, b = 3.7942 Å, c = 15.1040 Å
α = 90.00°, β = 90.00°, γ = 90.00°
Space group P4/mmm (No. 123)
Symmetry-distinct sites (fractional):
Tb  0.0000  0.0000  0.1231 (multiplicity 2)
Tb  0.0000  0.0000  0.3735 (multiplicity 2)
Mg  0.5000  0.5000  0.2499 (multiplicity 2)
Mg  0.5000  0.5000  0.5000 (multiplicity 1)
Cd  0.5000  0.5000  0.0000 (multiplicity 1)